<i>
LuPaAl2 | the Alexandria database | PBE | optimized geometry; SG = No. 123; total magnetization = 0.0 Bohr magnetons per cell; volume = 21.8 Å³ per atom
1.0
3.221 0.000 0.000
0.000 3.221 0.000
0.000 0.000 8.414
Pa Lu Al
1 1 2
direct
0.500 0.500 0.000 Pa
0.500 0.500 0.500 Lu
0.000 0.000 0.746 Al
0.000 0.000 0.254 Al

<ii>
LuPaAl2 | the Alexandria database | PBE | optimized geometry; SG = No. 166; total magnetization = 0.0 Bohr magnetons per cell; volume = 22.6 Å³ per atom
1.0
-2.890 -0.732 1.212
-2.261 -1.287 -1.895
1.594 -9.902 2.089
Pa Lu Al
1 1 2
direct
0.000 0.000 0.000 Pa
0.500 0.500 0.500 Lu
0.751 0.751 0.746 Al
0.249 0.249 0.254 Al

<iii>
LuPaAl2 | the Alexandria database | PBE | optimized geometry; SG = No. 123; total magnetization = 0.0 Bohr magnetons per cell; volume = 22.4 Å³ per atom
1.0
-2.548 -2.809 1.852
3.556 -1.618 2.439
-0.914 3.033 3.344
Pa Lu Al
1 1 2
direct
0.500 0.000 0.000 Pa
0.500 0.500 0.500 Lu
0.000 0.000 0.500 Al
0.000 0.500 0.000 Al

Which one is most stable, and which one is least stable? <i> is the most stable of them, while <ii> is the least stable.

<i>
Lu2PaAl | the Alexandria database | PBE | optimized geometry; SG = No. 123; total magnetization = 0.0 Bohr magnetons per cell; volume = 24.5 Å³ per atom
1.0
4.502 0.000 0.000
0.000 4.663 0.000
0.000 0.000 4.663
Pa Lu Al
1 2 1
direct
0.500 0.000 0.000 Pa
0.000 0.000 0.500 Lu
0.000 0.500 0.000 Lu
0.500 0.500 0.500 Al

<ii>
Lu2PaAl | the Alexandria database | PBE | optimized geometry; SG = No. 123; total magnetization = 0.4 Bohr magnetons per cell; volume = 24.6 Å³ per atom
1.0
3.326 0.000 0.000
0.000 3.326 0.000
0.000 0.000 8.895
Pa Lu Al
1 2 1
direct
0.500 0.500 0.500 Pa
0.000 0.000 0.774 Lu
0.000 0.000 0.226 Lu
0.500 0.500 0.000 Al

Which one is most stable, and which one is least stable? <ii> is the most stable of them, while <i> is the least stable.

<i>
LuPaAl | the Alexandria database | PBE | optimized geometry; SG = No. 156; total magnetization = 0.0 Bohr magnetons per cell; volume = 23.7 Å³ per atom
1.0
-1.879 -2.559 0.303
3.398 -2.794 -2.531
0.289 0.385 5.052
Pa Lu Al
1 1 1
direct
0.361 0.333 0.667 Pa
0.908 0.000 0.000 Lu
0.731 0.667 0.333 Al

<ii>
LuPaAl | the Alexandria database | PBE | optimized geometry; SG = No. 107; total magnetization = 0.0 Bohr magnetons per cell; volume = 23.5 Å³ per atom
1.0
3.176 0.000 0.000
0.000 3.176 0.000
-1.588 -1.588 6.997
Pa Lu Al
1 1 1
direct
0.322 0.322 0.644 Pa
0.012 0.012 0.024 Lu
0.666 0.666 0.332 Al

Which one is most stable, and which one is least stable? <ii> is the most stable of them, while <i> is the least stable.

<i>
LuAlPb2 | the Alexandria database | PBE | optimized geometry; SG = No. 166; total magnetization = 0.0 Bohr magnetons per cell; volume = 28.7 Å³ per atom
1.0
3.505 0.000 0.000
1.753 3.036 0.000
1.753 1.012 10.785
Pb Lu Al
2 1 1
direct
0.096 0.096 0.711 Pb
0.904 0.904 0.289 Pb
0.000 0.000 0.000 Lu
0.500 0.500 0.500 Al

<ii>
LuAlPb2 | the Alexandria database | PBE | optimized geometry; SG = No. 123; total magnetization = 0.0 Bohr magnetons per cell; volume = 25.5 Å³ per atom
1.0
-3.317 0.071 3.116
1.341 -4.279 1.525
2.953 2.029 3.098
Pb Lu Al
2 1 1
direct
0.000 0.000 0.500 Pb
0.000 0.500 0.000 Pb
0.500 0.500 0.500 Lu
0.500 0.000 0.000 Al

Which one is most stable, and which one is least stable? <ii> is the most stable of them, while <i> is the least stable.

<i>
PmLu2Al | the Alexandria database | PBE | optimized geometry; SG = No. 123; total magnetization = 0.0 Bohr magnetons per cell; volume = 27.1 Å³ per atom
1.0
-1.383 2.037 2.477
-1.922 -2.686 1.135
6.522 -2.322 5.550
Lu Al Pm
2 1 1
direct
0.000 0.000 0.791 Lu
0.000 0.000 0.209 Lu
0.500 0.500 0.000 Al
0.500 0.500 0.500 Pm

<ii>
PmLu2Al | the Alexandria database | PBE | optimized geometry; SG = No. 123; total magnetization = 0.0 Bohr magnetons per cell; volume = 26.6 Å³ per atom
1.0
-3.998 -2.491 0.538
1.447 -1.397 4.287
-2.095 3.779 1.938
Lu Al Pm
2 1 1
direct
0.000 0.000 0.500 Lu
0.000 0.500 0.000 Lu
0.500 0.000 0.000 Al
0.500 0.500 0.500 Pm

<iii>
PmLu2Al | the Alexandria database | PBE | optimized geometry; SG = No. 225; total magnetization = 1.1 Bohr magnetons per cell; volume = 26.6 Å³ per atom
1.0
5.316 0.000 0.000
2.658 4.604 0.000
2.658 1.535 4.340
Lu Al Pm
2 1 1
direct
0.250 0.250 0.250 Lu
0.750 0.750 0.750 Lu
0.500 0.500 0.500 Al
0.000 0.000 0.000 Pm

Which one is most stable, and which one is least stable? <i> is the most stable of them, while <iii> is the least stable.

<i>
PrLu2Al | the Alexandria database | PBE | optimized geometry; SG = No. 166; total magnetization = 0.0 Bohr magnetons per cell; volume = 28.8 Å³ per atom
1.0
3.421 0.000 0.000
1.710 2.963 0.000
1.710 0.988 11.383
Pr Lu Al
1 2 1
direct
0.000 0.000 0.000 Pr
0.101 0.101 0.698 Lu
0.899 0.899 0.302 Lu
0.500 0.500 0.500 Al

<ii>
PrLu2Al | the Alexandria database | PBE | optimized geometry; SG = No. 123; total magnetization = 0.0 Bohr magnetons per cell; volume = 27.5 Å³ per atom
1.0
3.505 0.000 0.000
0.000 3.505 0.000
0.000 0.000 8.942
Pr Lu Al
1 2 1
direct
0.500 0.500 0.500 Pr
0.000 0.000 0.794 Lu
0.000 0.000 0.206 Lu
0.500 0.500 0.000 Al

Which one is most stable, and which one is least stable? <ii> is the most stable of them, while <i> is the least stable.

<i>
LuPuAl | the Alexandria database | PBE | optimized geometry; SG = No. 156; total magnetization = 5.9 Bohr magnetons per cell; volume = 23.8 Å³ per atom
1.0
-0.661 -2.611 -1.737
4.960 -0.750 -0.759
-2.296 -2.088 4.014
Lu Al Pu
1 1 1
direct
0.286 0.667 0.333 Lu
0.020 0.000 0.000 Al
0.695 0.333 0.667 Pu

<ii>
LuPuAl | the Alexandria database | PBE | optimized geometry; SG = No. 107; total magnetization = 5.6 Bohr magnetons per cell; volume = 24.1 Å³ per atom
1.0
3.245 0.000 0.000
0.000 3.245 0.000
-1.623 -1.623 6.864
Lu Al Pu
1 1 1
direct
0.268 0.268 0.537 Lu
0.618 0.618 0.236 Al
0.963 0.963 0.927 Pu

Which one is most stable, and which one is least stable? <ii> is the most stable of them, while <i> is the least stable.

<i>
LuAl2Ru | the Alexandria database | PBE | optimized geometry; SG = No. 123; total magnetization = 0.0 Bohr magnetons per cell; volume = 17.4 Å³ per atom
1.0
-1.856 0.037 -2.508
-2.203 -1.516 1.608
-2.750 6.253 2.126
Ru Lu Al
1 1 2
direct
0.500 0.500 0.000 Ru
0.500 0.500 0.500 Lu
0.000 0.000 0.809 Al
0.000 0.000 0.191 Al

<ii>
LuAl2Ru | the Alexandria database | PBE | optimized geometry; SG = No. 225; total magnetization = 0.0 Bohr magnetons per cell; volume = 16.7 Å³ per atom
1.0
-4.271 1.575 -0.073
-3.237 -2.085 2.430
-1.741 2.028 3.686
Ru Lu Al
1 1 2
direct
0.500 0.500 0.500 Ru
0.000 0.000 0.000 Lu
0.250 0.250 0.250 Al
0.750 0.750 0.750 Al

Which one is most stable, and which one is least stable? <i> is the most stable of them, while <ii> is the least stable.